[1]
First-principles (GGA-PBE) data for crystalline LaHfTe2I at its relaxed geometry, as listed in the Alexandria database.

Cell lengths 6.1314, 6.1314, 6.0207 Å; angles 90.00, 90.00, 90.00 degrees
With the nearest neighbours (Å) after each atom.
Sites, in units of the cell vectors:
I1 0.0000 0.0000 0.5000  2 La 3.01
Te1 0.0000 0.5000 0.0000  2 La 3.07
Te2 0.5000 0.0000 0.0000  2 La 3.07
Hf1 0.5000 0.5000 0.5000  8 Te 4.30, 4 I 4.34
La1 0.0000 0.0000 0.0000  2 I 3.01, 4 Te 3.07

Results
ρ in Mg/m³: 5.13
Formation energy without anion corrections in eV/atom: 0.236
Polymorph energy (0 for the lowest one) in eV per atom: 0.778
Raw total energy in eV for the cell shown: -21.5

[2]
First-principles (GGA-PBE) data for crystalline La2HfZnI at its relaxed geometry, as listed in the Alexandria database.

Cell lengths 5.8227, 5.5333, 5.8227 Å; angles 90.00, 90.00, 90.00 degrees
With the nearest neighbours (Å) after each atom.
Sites, in units of the cell vectors:
I1 0.0000 0.5000 0.0000  2 Hf 2.77
Zn1 0.5000 0.5000 0.5000  8 La 4.02, 4 I 4.12
Hf1 0.0000 0.0000 0.0000  2 I 2.77, 4 La 2.91
La1 0.0000 0.0000 0.5000  2 Hf 2.91
La2 0.5000 0.0000 0.0000  2 Hf 2.91

Results
ρ in Mg/m³: 5.74
Formation energy without anion corrections in eV/atom: 0.465
Raw total energy in eV for the cell shown: -20.3

[3]
First-principles (GGA-PBE) data for crystalline Li2Hf2I at its relaxed geometry, as listed in the Alexandria database.

Cell lengths 6.3284, 6.3284, 5.1128 Å; angles 90.00, 90.00, 90.00 degrees
With the nearest neighbours (Å) after each atom.
Sites, in units of the cell vectors:
I1 0.0000 0.0000 0.0000  4 Li 2.49
I2 0.5000 0.5000 0.0000  4 Li 2.49
Hf1 0.1642 0.6642 0.5000  1 Hf 2.94, 6 Li 3.16-3.17
Hf2 0.6642 0.8358 0.5000  1 Hf 2.94, 6 Li 3.16-3.17
Hf3 0.8358 0.3358 0.5000  1 Hf 2.94, 6 Li 3.16-3.17
Hf4 0.3358 0.1642 0.5000  1 Hf 2.94, 6 Li 3.16-3.17
Li1 0.3728 0.8728 0.0000  1 Li 2.28, 2 I 2.49
Li2 0.8728 0.6272 0.0000  1 Li 2.28, 2 I 2.49
Li3 0.6272 0.1272 0.0000  1 Li 2.28, 2 I 2.49
Li4 0.1272 0.3728 0.0000  1 Li 2.28, 2 I 2.49

Results
ρ in Mg/m³: 8.07
Formation energy without anion corrections in eV/atom: 0.343
Polymorph energy (0 for the lowest one) in eV per atom: 0.078
Raw total energy in eV for the cell shown: -47.1

[4]
First-principles (GGA-PBE) data for crystalline LiHf2I at its relaxed geometry, as listed in the Alexandria database.

Cell lengths 4.9239, 4.9239, 4.9239 Å; angles 60.00, 60.00, 60.00 degrees
With the nearest neighbours (Å) after each atom.
Sites, in units of the cell vectors:
I1 0.5000 0.5000 0.5000  8 Hf 3.02
Hf1 0.2500 0.2500 0.2500  4 I 3.02, 4 Li 3.02
Hf2 0.7500 0.7500 0.7500  4 Li 3.02, 4 I 3.02
Li1 0.0000 0.0000 0.0000  8 Hf 3.02

Results
ρ in Mg/m³: 9.66
Formation energy without anion corrections in eV/atom: 0.475
Polymorph energy (0 for the lowest one) in eV per atom: 0.096
Raw total energy in eV for the cell shown: -21.5

[5]
First-principles (GGA-PBE) data for crystalline LiHf2I at its relaxed geometry, as listed in the Alexandria database.

Cell lengths 4.0655, 4.0655, 11.6382 Å; angles 79.94, 79.94, 90.00 degrees
With the nearest neighbours (Å) after each atom.
Sites, in units of the cell vectors:
I1 0.0000 0.0000 0.0000  4 Li 2.87, 4 Hf 3.16
I2 0.7500 0.2500 0.5000  4 Li 2.87, 4 Hf 3.16
Hf1 0.6284 0.1250 0.2500  4 Hf 2.86-2.89, 2 I 3.16, 2 Li 3.17
Hf2 0.1216 0.6250 0.2500  4 Hf 2.86-2.89, 2 I 3.16, 2 Li 3.17
Hf3 0.3750 0.3716 0.7500  4 Hf 2.86-2.89, 2 I 3.16, 2 Li 3.17
Hf4 0.8750 0.8784 0.7500  4 Hf 2.86-2.89, 2 I 3.16, 2 Li 3.17
Li1 0.5000 0.5000 0.0000  4 I 2.87, 4 Hf 3.17
Li2 0.2500 0.7500 0.5000  4 I 2.87, 4 Hf 3.17

Results
ρ in Mg/m³: 8.75
Formation energy without anion corrections in eV/atom: 0.379
Polymorph energy (0 for the lowest one) in eV per atom: 0.000
Raw total energy in eV for the cell shown: -43.7

[6]
First-principles (GGA-PBE) data for crystalline Li2HfI6 at its relaxed geometry, as listed in the Alexandria database.

Cell lengths 7.1017, 7.1017, 12.8176 Å; angles 90.00, 90.00, 90.00 degrees
With the nearest neighbours (Å) after each atom.
Sites, in units of the cell vectors:
Li1 0.0000 0.0000 0.3313  6 I 2.94-3.06
Li2 0.5000 0.5000 0.8313  6 I 2.94-3.06
Li3 0.5000 0.5000 0.1687  6 I 2.94-3.06
Li4 0.0000 0.0000 0.6687  6 I 2.94-3.06
Hf1 0.0000 0.0000 0.0000  6 I 2.85-2.89
Hf2 0.5000 0.5000 0.5000  6 I 2.85-2.89
I1 0.3044 0.3044 0.3393  1 Hf 2.85, 2 Li 2.94-3.06
I2 0.6956 0.6956 0.3393  1 Hf 2.85, 2 Li 2.94-3.06
I3 0.1956 0.8044 0.8393  1 Hf 2.85, 2 Li 2.94-3.06
I4 0.8044 0.1956 0.8393  1 Hf 2.85, 2 Li 2.94-3.06
I5 0.1956 0.8044 0.1607  1 Hf 2.85, 2 Li 2.94-3.06
I6 0.8044 0.1956 0.1607  1 Hf 2.85, 2 Li 2.94-3.06
I7 0.3044 0.3044 0.6607  1 Hf 2.85, 2 Li 2.94-3.06
I8 0.6956 0.6956 0.6607  1 Hf 2.85, 2 Li 2.94-3.06
I9 0.2874 0.2874 0.0000  1 Hf 2.89, 2 Li 3.04
I10 0.7126 0.7126 0.0000  1 Hf 2.89, 2 Li 3.04
I11 0.2126 0.7874 0.5000  1 Hf 2.89, 2 Li 3.04
I12 0.7874 0.2126 0.5000  1 Hf 2.89, 2 Li 3.04

Results
ρ in Mg/m³: 4.90
Formation energy without anion corrections in eV/atom: -0.986
Polymorph energy (0 for the lowest one) in eV per atom: 0.022
Raw total energy in eV for the cell shown: -63.9